Ta2TeN: relaxed, PBE.

Structure (POSCAR):
```
Ta2TeN
1.0
0.0000 3.1783 3.1783
3.1783 0.0000 3.1783
3.1783 3.1783 0.0000
Ta Te N
2 1 1
Cartesian
1.5891 1.5891 1.5891 Ta
4.7674 4.7674 4.7674 Ta
0.0000 0.0000 0.0000 Te
3.1783 3.1783 3.1783 N
```

ρ   13.02 g/cm³
Size of the total moment   0.00 μB per cell
Density of states at the Fermi level   6.23 states/eV/f.u.
Raw formation energy   743 meV/atom
SG   Fm-3m, No. 225

Ta2TeN: relaxed, PBE.

Structure (POSCAR):
```
Ta2TeN
1.0
-2.6387 2.6387 5.8002
2.6387 -2.6387 5.8002
2.6387 2.6387 -5.8002
Ta Te N
4 2 2
Cartesian
0.6057 1.3194 1.4501 Ta
-1.3194 2.0331 4.3502 Ta
-0.6057 3.9581 1.4501 Ta
1.3194 3.2444 4.3502 Ta
2.6387 0.0000 2.9001 Te
0.0000 0.0000 5.8002 Te
0.0000 0.0000 0.0000 N
0.0000 2.6387 2.9001 N
```

ρ   10.35 g/cm³
Size of the total moment   0.00 μB per cell
Density of states at the Fermi level   3.30 states/eV/f.u.
Raw formation energy   -51 meV/atom
SG   I-42d, No. 122

TaTe2N: relaxed, PBE.

Structure (POSCAR):
```
TaTe2N
1.0
-2.9362 2.9362 5.5208
2.9362 -2.9362 5.5208
2.9362 2.9362 -5.5208
Ta Te N
2 4 2
Cartesian
0.0000 0.0000 0.0000 Ta
0.0000 2.9362 2.7604 Ta
1.4681 -1.1720 4.1406 Te
1.7642 1.4681 1.3802 Te
1.4681 4.1082 -1.3802 Te
1.1720 1.4681 6.9010 Te
2.9362 0.0000 2.7604 N
0.0000 0.0000 5.5208 N
```

ρ   7.85 g/cm³
Size of the total moment   0.00 μB per cell
Density of states at the Fermi level   2.20 states/eV/f.u.
Raw formation energy   1014 meV/atom
SG   I-42d, No. 122

TaTeN: relaxed, PBE.

Structure (POSCAR):
```
TaTeN
1.0
3.5704 0.0000 0.0000
0.0000 3.5704 0.0000
0.0000 0.0000 9.6465
Ta Te N
2 2 2
Cartesian
0.8926 0.8926 1.0880 Ta
2.6778 2.6778 8.5585 Ta
0.8926 0.8926 6.7792 Te
2.6778 2.6778 2.8672 Te
0.8926 2.6778 0.0000 N
2.6778 0.8926 0.0000 N
```

ρ   8.71 g/cm³
Size of the total moment   0.25 μB per cell
Density of states at the Fermi level   1.31 states/eV/f.u.
Raw formation energy   -606 meV/atom
SG   P4/nmm, No. 129

TaTeN3: relaxed, PBE.

Structure (POSCAR):
```
TaTeN3
1.0
4.0819 0.0000 0.0000
0.0000 4.0819 0.0000
0.0000 0.0000 4.0819
Ta Te N
1 1 3
Cartesian
0.0000 0.0000 0.0000 Ta
2.0410 2.0410 2.0410 Te
0.0000 0.0000 2.0410 N
0.0000 2.0410 0.0000 N
2.0410 0.0000 0.0000 N
```

ρ   8.56 g/cm³
Size of the total moment   0.00 μB per cell
Density of states at the Fermi level   3.29 states/eV/f.u.
Raw formation energy   585 meV/atom
SG   Pm-3m, No. 221

TaTe2N: relaxed, PBE.

Structure (POSCAR):
```
TaTe2N
1.0
1.5955 0.9212 8.9689
-1.5955 0.9212 8.9689
0.0000 -1.8424 8.9689
Ta Te N
1 2 1
Cartesian
0.0000 0.0000 0.0000 Ta
0.0000 0.0000 2.8240 Te
0.0000 0.0000 24.0826 Te
0.0000 0.0000 13.4533 N
```

ρ   9.45 g/cm³
Size of the total moment   0.00 μB per cell
Density of states at the Fermi level   3.23 states/eV/f.u.
Raw formation energy   1252 meV/atom
SG   R-3m, No. 166

TaTiTeN2: relaxed, PBE.

Structure (POSCAR):
```
TaTiTeN2
1.0
3.9654 0.0000 0.0000
0.0000 3.9654 0.0000
0.0000 0.0000 5.3878
Ta Ti Te N
1 1 1 2
Cartesian
0.0000 0.0000 0.0000 Ta
1.9827 1.9827 2.6939 Ti
1.9827 1.9827 0.0000 Te
0.0000 1.9827 2.6939 N
1.9827 0.0000 2.6939 N
```

ρ   7.53 g/cm³
Size of the total moment   0.87 μB per cell
Density of states at the Fermi level   3.66 states/eV/f.u.
Raw formation energy   754 meV/atom
SG   P4/mmm, No. 123

TaTiTe2N: relaxed, PBE.

Structure (POSCAR):
```
TaTiTe2N
1.0
5.4324 0.0000 0.0000
0.0000 5.4324 0.0000
0.0000 0.0000 3.6552
Ta Ti Te N
1 1 2 1
Cartesian
0.0000 0.0000 0.0000 Ta
2.7162 2.7162 1.8276 Ti
0.0000 2.7162 1.8276 Te
2.7162 0.0000 1.8276 Te
2.7162 2.7162 0.0000 N
```

ρ   7.67 g/cm³
Size of the total moment   1.27 μB per cell
Density of states at the Fermi level   4.49 states/eV/f.u.
Raw formation energy   425 meV/atom
SG   P4/mmm, No. 123